{"formula": "La12Nd6In", "functional": "PBE", "state": "relaxed", "volume_a3_per_cell": 670.9, "magnetic_moment_mub_per_fu": 0.00, "cell": [[9.2416, -1.0061, -2.8818], [-3.6152, 8.5645, -2.8816], [-0.7489, -1.0062, 9.6515]], "species": ["Nd", "Nd", "Nd", "Nd", "Nd", "Nd", "La", "La", "La", "La", "La", "La", "La", "La", "La", "La", "La", "La", "In"], "fractional_positions": [[0.7907, 0.6899, 0.5334], [0.5334, 0.7907, 0.6899], [0.3101, 0.4666, 0.2093], [0.4666, 0.2093, 0.3101], [0.2093, 0.3101, 0.4666], [0.6899, 0.5334, 0.7907], [0.7414, 0.1021, 0.1548], [0.8452, 0.2586, 0.8979], [0.6259, 0.9437, 0.4151], [0.2586, 0.8979, 0.8452], [0.1021, 0.1548, 0.7414], [0.0563, 0.5849, 0.3741], [0.5849, 0.3741, 0.0563], [0.4151, 0.6259, 0.9437], [0.3741, 0.0563, 0.5849], [0.8979, 0.8452, 0.2586], [0.1548, 0.7414, 0.1021], [0.9437, 0.4151, 0.6259], [0.0000, 0.0000, 0.0000]]}

***

{"formula": "La5Nd6In", "functional": "PBE", "state": "relaxed", "de_polymorph_ev_per_atom": 0.000, "volume_a3_per_cell": 412.2, "magnetic_moment_mub_per_fu": 0.00, "cell": [[12.0936, -1.0791, 0.0000], [1.6535, 6.0851, 0.0000], [0.8268, 3.0425, 5.4691]], "species": ["Nd", "Nd", "Nd", "Nd", "Nd", "Nd", "La", "La", "La", "La", "La", "In"], "fractional_positions": [[0.2458, 0.9181, 0.6759], [0.7542, 0.4061, 0.6759], [0.2458, 0.5939, 0.3241], [0.2475, 0.2413, 0.0000], [0.7542, 0.0819, 0.3241], [0.7525, 0.7587, 0.0000], [0.0000, 0.3333, 0.3334], [0.5000, 0.8292, 0.3416], [0.5000, 0.5000, 0.0000], [0.5000, 0.1708, 0.6584], [0.0000, 0.6667, 0.6666], [0.0000, 0.0000, 0.0000]]}

***

{"formula": "LaNd6In6", "functional": "PBE", "state": "relaxed", "volume_a3_per_cell": 395.2, "magnetic_moment_mub_per_fu": 2.09, "cell": [[6.3841, -0.0004, 0.0000], [-3.1916, 5.5291, 0.0000], [0.0000, 0.0000, 11.1962]], "species": ["In", "In", "In", "In", "In", "In", "Nd", "Nd", "Nd", "Nd", "Nd", "Nd", "La"], "fractional_positions": [[0.5000, 0.5000, 0.2453], [0.5000, 0.5000, 0.7547], [0.5000, 0.0000, 0.7547], [0.0000, 0.5000, 0.7547], [0.0000, 0.5000, 0.2453], [0.5000, 0.0000, 0.2453], [0.0000, 0.0000, 0.6631], [0.6667, 0.3333, 0.5000], [0.3333, 0.6667, 0.0000], [0.6667, 0.3333, 0.0000], [0.0000, 0.0000, 0.3369], [0.3333, 0.6667, 0.5000], [0.0000, 0.0000, 0.0000]]}

***

{"formula": "La3Nd8In4", "functional": "PBE", "state": "relaxed", "volume_a3_per_cell": 509.0, "magnetic_moment_mub_per_fu": 0.00, "cell": [[11.5971, -0.1829, -0.2627], [-5.7416, 7.3087, -0.7248], [-5.7416, -3.2169, 6.6026]], "species": ["Nd", "Nd", "Nd", "Nd", "Nd", "Nd", "Nd", "Nd", "La", "La", "La", "In", "In", "In", "In"], "fractional_positions": [[0.0000, 0.7412, 0.2588], [0.4999, 0.2346, 0.2346], [0.5000, 0.2409, 0.7591], [0.0000, 0.2588, 0.7412], [0.5001, 0.7654, 0.7654], [0.5000, 0.7591, 0.2409], [0.0084, 0.7532, 0.7532], [0.9916, 0.2468, 0.2468], [0.5000, 0.0000, 0.5000], [0.5000, 0.5000, 0.0000], [0.5000, 0.5000, 0.5000], [0.0000, 0.0000, 0.0000], [0.0000, 0.0000, 0.5000], [0.5000, 0.0000, 0.0000], [0.0000, 0.5000, 0.0000]]}

***

{"formula": "La5Nd2In", "functional": "PBE", "state": "relaxed", "de_polymorph_ev_per_atom": 0.000, "volume_a3_per_cell": 273.1, "magnetic_moment_mub_per_fu": 0.00, "cell": [[-5.1885, -4.9587, 1.5562], [6.6787, -0.6191, 2.9877], [-2.4789, 6.0300, 2.2751]], "species": ["Nd", "Nd", "La", "La", "La", "La", "La", "In"], "fractional_positions": [[0.2124, 0.8031, 0.4595], [0.7529, 0.3436, 0.5405], [0.3402, 0.7605, 0.0000], [0.2404, 0.3156, 0.5002], [0.7402, 0.8154, 0.4998], [0.7952, 0.2158, 0.0000], [0.3266, 0.2284, 0.0000], [0.8151, 0.7406, 0.0000]]}

***

{"formula": "La5NdIn2", "functional": "PBE", "state": "relaxed", "de_polymorph_ev_per_atom": 0.115, "volume_a3_per_cell": 547.6, "magnetic_moment_mub_per_fu": 0.00, "cell": [[5.3652, 0.0000, 0.0000], [-2.6826, 6.1897, 0.0000], [0.0000, 0.0000, 16.4907]], "species": ["La", "La", "La", "La", "La", "La", "La", "La", "La", "La", "In", "In", "In", "In", "Nd", "Nd"], "fractional_positions": [[0.6422, 0.2843, 0.9740], [0.4602, 0.9204, 0.7500], [0.0371, 0.0742, 0.3947], [0.3578, 0.7157, 0.4740], [0.9629, 0.9258, 0.6053], [0.3578, 0.7157, 0.0260], [0.5398, 0.0796, 0.2500], [0.9629, 0.9258, 0.8947], [0.6422, 0.2843, 0.5260], [0.0371, 0.0742, 0.1053], [0.7761, 0.5521, 0.3543], [0.7761, 0.5521, 0.1457], [0.2239, 0.4479, 0.6457], [0.2239, 0.4479, 0.8543], [0.7318, 0.4636, 0.7500], [0.2682, 0.5364, 0.2500]]}

***

{"formula": "La6Nd3In", "functional": "PBE", "state": "relaxed", "de_polymorph_ev_per_atom": 0.000, "volume_a3_per_cell": 710.5, "magnetic_moment_mub_per_fu": 0.00, "cell": [[3.6986, 0.0000, 0.0000], [0.0000, 12.2470, -2.1772], [0.0000, 0.1994, 15.6499]], "species": ["La", "La", "La", "La", "La", "La", "La", "La", "La", "La", "La", "La", "Nd", "Nd", "Nd", "Nd", "Nd", "Nd", "In", "In"], "fractional_positions": [[0.2500, 0.5730, 0.9002], [0.2500, 0.3856, 0.5370], [0.7500, 0.3198, 0.7454], [0.2500, 0.8204, 0.6217], [0.2500, 0.6802, 0.2546], [0.2500, 0.9011, 0.0324], [0.7500, 0.1796, 0.3783], [0.7500, 0.4270, 0.0998], [0.7500, 0.0989, 0.9676], [0.7500, 0.6144, 0.4630], [0.7500, 0.8201, 0.8326], [0.2500, 0.1799, 0.1674], [0.2500, 0.1122, 0.5685], [0.2500, 0.0629, 0.7759], [0.7500, 0.8878, 0.4315], [0.2500, 0.4147, 0.3123], [0.7500, 0.9371, 0.2241], [0.7500, 0.5853, 0.6877], [0.7500, 0.6942, 0.0750], [0.2500, 0.3058, 0.9250]]}

***

{"formula": "La8Nd4In", "functional": "PBE", "state": "relaxed", "volume_a3_per_cell": 474.7, "magnetic_moment_mub_per_fu": 0.00, "cell": [[10.3498, -0.0008, -5.5840], [-6.6808, 9.6782, -0.0005], [-2.8844, -1.9907, 7.0376]], "species": ["Nd", "Nd", "Nd", "Nd", "La", "La", "La", "La", "La", "La", "La", "La", "In"], "fractional_positions": [[0.5000, 0.5000, 0.0000], [0.5000, 0.0000, 0.0000], [0.0000, 0.5000, 0.0000], [0.0000, 0.0000, 0.0000], [0.1613, 0.8267, 0.9880], [0.8387, 0.1733, 0.0120], [0.8387, 0.6655, 0.0120], [0.6535, 0.8267, 0.9880], [0.3465, 0.1733, 0.0120], [0.4750, 0.2375, 0.7125], [0.1613, 0.3345, 0.9880], [0.5250, 0.7625, 0.2875], [0.0000, 0.5000, 0.5000]]}

***

Computed DOS(E_F), in the same sequence as the records: 1.55, 1.35, 1.18, 1.16, 1.43, 1.16, 1.53, 1.55 states/eV per atom.
Computed total energy, in the same sequence as the records: -4.80, -4.73, -4.21, -4.25, -4.74, -4.54, -4.69, -4.45 eV/atom.